First-principles (PBE-GGA) data for a relaxed structure of Pr2Nd7Sm3, as listed in the Alexandria database.

Lattice parameters (Å, degrees): 6.003 3.660 19.380 90.00 93.26 90.00
Space group P2/m (No. 10)
Asymmetric unit:
Pr 0.205 0.000 0.296 [2 per cell]
Nd 0.179 0.500 0.143 [2 per cell]
Nd 0.242 0.000 0.464 [2 per cell]
Nd 0.319 0.000 0.823 [2 per cell]
Nd 0.500 0.500 0.000 [1 per cell]
Sm 0.000 0.000 0.000 [1 per cell]
Sm 0.284 0.500 0.632 [2 per cell]

Output
DOS at the Fermi energy ... 17.0 states/eV per cell
Calculated formation energy ... 8 kJ/mol of atoms
VASP energy ... -4.674 eV/atom
E above lowest polymorph ... 0.017 eV/atom

---

First-principles (PBE-GGA) data for a relaxed structure of Pr2Nd3Sm8, as listed in the Alexandria database.

Lattice parameters (Å, degrees): 15.032 9.228 6.920 90.00 99.22 90.00
Space group C2/m (No. 12)
Asymmetric unit:
Pr 0.202 0.000 0.282 [4 per cell]
Nd 0.000 0.000 0.500 [2 per cell]
Nd 0.000 0.170 0.000 [4 per cell]
Sm 0.085 0.500 0.873 [4 per cell]
Sm 0.114 0.321 0.432 [8 per cell]
Sm 0.209 0.000 0.794 [4 per cell]

Output
DOS at the Fermi energy ... 41.0 states/eV per cell
Calculated formation energy ... 24 kJ/mol of atoms
VASP energy ... -4.492 eV/atom
E above lowest polymorph ... 0.094 eV/atom